# NiAgI2O

Crystalline NiAgI2O at its relaxed geometry (PBE with a Hubbard U, Alexandria).

Calculated values
- Relative energy among the computed polymorphs: 0.000 eV per atom
- Volume: 120.86 Å³/cell
- Space-group type: P4/mmm (123)
- Total magnetization: 0.473 μB/atom

Geometry as extended XYZ:
```
5
Lattice="-0.172 -5.228 2.643 5.503 0.762 1.865 -1.205 1.523 2.935" Properties=species:S:1:pos:R:3 pbc="T T T"
Ag 2.063 -1.471 3.721
I 2.752 0.381 0.932
I -0.086 -2.614 1.321
O -0.603 0.762 1.467
Ni 0.000 0.000 0.000
```